The following is a DFT calculation (GGA+U) of an optimized crystal structure of V2ZnHO6.

The structure in POSCAR format:
```
V2ZnHO6
1.0
5.378 -5.988 0.000
5.378 5.988 0.000
-1.671 0.000 5.170
V Zn H O
4 2 2 12
direct
0.111 0.292 0.144
0.292 0.111 0.644
0.708 0.889 0.356
0.889 0.708 0.856
0.260 0.740 0.250
0.740 0.260 0.750
0.183 0.817 0.750
0.817 0.183 0.250
0.120 0.764 0.911
0.160 0.219 0.835
0.188 0.504 0.257
0.219 0.160 0.335
0.236 0.880 0.589
0.496 0.812 0.243
0.504 0.188 0.757
0.764 0.120 0.411
0.781 0.840 0.665
0.812 0.496 0.743
0.840 0.781 0.165
0.880 0.236 0.089
```

Results
As for the symmetry: No. 15. Its total energy is -6.5331 eV per atom. As for the magnetic moment: 2.000 μB per cell.